1) DFT (PBE) results for an optimized crystal structure of Pr2TlHg4.

Summary:
DOS at the Fermi energy in states/eV/atom: 0.546
Symmetry: R-3m

a b c (Å): 5.380 5.380 8.281
angles (deg): 71.05 71.05 60.00
Positions (direct):
1 Tl 0.000 0.000 0.000
2 Hg 0.865 0.865 0.404
3 Hg 0.573 0.573 0.281
4 Hg 0.427 0.427 0.719
5 Hg 0.135 0.135 0.596
6 Pr 0.726 0.726 0.821
7 Pr 0.274 0.274 0.179

2) DFT (PBE) results for an optimized crystal structure of Pr2TlHg4.

Summary:
DOS at the Fermi energy in states/eV/atom: 0.804
Symmetry: I4/mmm

a b c (Å): 5.603 5.603 8.850
angles (deg): 108.45 108.45 90.00
Positions (direct):
1 Tl 0.000 0.000 0.000
2 Pr 0.388 0.388 0.775
3 Pr 0.612 0.612 0.225
4 Hg 0.193 0.193 0.385
5 Hg 0.807 0.807 0.615
6 Hg 0.500 0.000 0.000
7 Hg 0.000 0.500 0.000

On energetic grounds, 1) is preferred over the next structure by 380 meV/atom.